Record 1
Density functional theory data (PBE-GGA) for a relaxed Pm3HoEr crystal.

Geometry as POSCAR:
```
Pm3HoEr
1.0
5.699 -0.006 0.008
0.006 7.046 -0.716
2.836 -0.922 8.286
Pm Er Ho
6 2 2
Cartesian
2.049 6.492 1.717 Pm
2.040 1.569 5.675 Pm
4.900 4.508 0.376 Pm
4.893 4.830 3.545 Pm
7.741 5.033 5.386 Pm
4.886 -0.085 7.128 Pm
4.897 1.020 0.670 Er
2.046 2.908 2.072 Er
4.888 3.422 6.830 Ho
4.892 1.354 3.854 Ho
```

Results
The total energy comes out at -4.632 eV per atom. The calculation puts the formation energy from the elements at 0.05 eV/atom. For the excess energy over the best structure of this formula in the dataset, the calculation gives 0 meV/atom. The value obtained for the density of states at the Fermi level is 1.551 states/eV per atom.

=====

Record 2
Density functional theory data (PBE-GGA) for a relaxed ZrMnCdRe2 crystal.

Geometry as POSCAR:
```
ZrMnCdRe2
1.0
4.821 0.000 0.000
0.000 4.804 0.000
0.000 0.000 4.821
Re Cd Zr Mn
2 1 1 1
Cartesian
0.000 0.000 2.410 Re
2.410 0.000 0.000 Re
2.410 2.402 2.410 Cd
0.000 0.000 0.000 Zr
0.000 2.402 0.000 Mn
```

Results
The total energy comes out at -6.667 eV per atom. The calculation puts the formation energy from the elements at 2.04 eV/atom. The value obtained for the density of states at the Fermi level is 1.000 states/eV per atom.

=====

Record 3
Density functional theory data (PBE-GGA) for a relaxed NaSn6Pd6 crystal.

Geometry as POSCAR:
```
NaSn6Pd6
1.0
0.470 3.564 4.482
-0.057 -3.434 6.419
6.830 0.680 2.425
Sn Pd Na
6 6 1
Cartesian
1.283 0.732 2.966 Sn
2.571 1.459 5.936 Sn
4.672 -0.648 7.391 Sn
2.270 -2.044 5.070 Sn
4.503 -0.710 3.775 Sn
5.960 0.079 10.360 Sn
1.913 -0.616 7.654 Pd
-0.029 -1.717 3.209 Pd
3.650 2.122 3.454 Pd
5.330 1.426 5.672 Pd
3.415 0.340 1.213 Pd
0.206 0.065 5.451 Pd
0.000 0.000 0.000 Na
```

Results
The total energy comes out at -4.828 eV per atom. The calculation puts the formation energy from the elements at -0.48 eV/atom. The value obtained for the density of states at the Fermi level is 0.384 states/eV per atom.

=====

Record 4
Density functional theory data (PBE-GGA) for a relaxed La8P3AuI4 crystal.

Geometry as POSCAR:
```
La8P3AuI4
1.0
-5.063 3.074 -6.365
-1.973 -8.648 -2.607
-1.557 2.235 8.256
La Au P I
8 1 3 4
Cartesian
-2.798 -0.615 1.928 La
-5.244 0.923 -1.322 La
-4.494 -0.154 -5.301 La
-3.349 -4.262 0.605 La
-6.539 -1.703 1.516 La
-4.099 -3.184 4.584 La
-5.795 -2.723 -2.644 La
-2.054 -1.636 -2.233 La
-0.987 -4.324 -1.304 Au
-1.765 -3.207 2.824 P
-4.296 -1.669 -0.358 P
-3.518 -2.787 -4.486 P
-2.531 1.537 -3.183 I
-3.310 2.655 0.946 I
0.000 0.000 0.000 I
-0.779 1.118 4.128 I
```

Results
The total energy comes out at -5.369 eV per atom. As for the uncorrected formation energy: -1298 meV/atom. The value obtained for the density of states at the Fermi level is 0.776 states/eV per atom.